# 1
# Cd2TeBr | Alexandria via LeMat-Bulk | PBE | relaxed
# - Formation energy without anion corrections: 74 meV per atom
# - DOS at the Fermi energy: 0.676 states/eV/atom
# - Magnetization: 0.00 μB per cell
# - Energy above the most stable polymorph in this dataset: 463 meV per atom
data_Cd2TeBr
_chemical_formula_sum 'Cd2 Te1 Br1'
_cell_length_a 5.327
_cell_length_b 5.327
_cell_length_c 5.327
_cell_angle_alpha 60.00
_cell_angle_beta 60.00
_cell_angle_gamma 60.00
_symmetry_space_group_name_H-M 'P 1'
_symmetry_Int_Tables_number 1
_symmetry_space_group_name_Hall 'P 1'
loop_
_atom_site_label
_atom_site_type_symbol
_atom_site_fract_x
_atom_site_fract_y
_atom_site_fract_z
Br1 Br 0.500 0.500 0.500
Cd1 Cd 0.250 0.250 0.250
Cd2 Cd 0.000 0.000 0.000
Te1 Te 0.750 0.750 0.750

=====

# 2
# CdTe2Br | Alexandria via LeMat-Bulk | PBE | relaxed
# - Formation energy without anion corrections: -39 meV per atom
# - DOS at the Fermi energy: 0.341 states/eV/atom
# - Magnetization: 0.00 μB per cell
# - Energy above the most stable polymorph in this dataset: 231 meV per atom
data_CdTe2Br
_chemical_formula_sum 'Cd2 Te4 Br2'
_cell_length_a 4.874
_cell_length_b 4.874
_cell_length_c 11.814
_cell_angle_alpha 78.10
_cell_angle_beta 78.10
_cell_angle_gamma 90.00
_symmetry_space_group_name_H-M 'P 1'
_symmetry_Int_Tables_number 1
_symmetry_space_group_name_Hall 'P 1'
loop_
_atom_site_label
_atom_site_type_symbol
_atom_site_fract_x
_atom_site_fract_y
_atom_site_fract_z
Te1 Te 0.726 0.125 0.250
Te2 Te 0.875 0.976 0.750
Te3 Te 0.375 0.274 0.750
Te4 Te 0.024 0.625 0.250
Br1 Br 0.500 0.500 0.000
Br2 Br 0.250 0.750 0.500
Cd1 Cd 0.000 0.000 0.000
Cd2 Cd 0.750 0.250 0.500

=====

# 3
# CdTeBr6 | Alexandria via LeMat-Bulk | PBE | relaxed
# - Formation energy without anion corrections: -478 meV per atom
# - DOS at the Fermi energy: 0.000 states/eV/atom
# - Magnetization: 0.00 μB per cell
# - Energy above the most stable polymorph in this dataset: 0 meV per atom
data_CdTeBr6
_chemical_formula_sum 'Cd1 Te1 Br6'
_cell_length_a 7.936
_cell_length_b 6.932
_cell_length_c 7.345
_cell_angle_alpha 99.40
_cell_angle_beta 105.71
_cell_angle_gamma 124.83
_symmetry_space_group_name_H-M 'P 1'
_symmetry_Int_Tables_number 1
_symmetry_space_group_name_Hall 'P 1'
loop_
_atom_site_label
_atom_site_type_symbol
_atom_site_fract_x
_atom_site_fract_y
_atom_site_fract_z
Br1 Br 0.100 0.851 0.702
Br2 Br 0.263 0.525 0.000
Br3 Br 0.737 0.475 0.000
Br4 Br 0.900 0.149 0.298
Br5 Br 0.602 0.851 0.702
Br6 Br 0.398 0.149 0.298
Cd1 Cd 0.000 0.000 0.000
Te1 Te 0.500 0.000 0.000

=====

Question: Which of these has the lowest DOS at the Fermi energy?
Answer: CdTeBr6